Entry 1:
{"formula": "YVInCl6", "functional": "PBE", "state": "optimized geometry", "rho_kg_m3": 2830, "e_form_raw_ev_per_atom": -1.584, "sg": "P-31c, No. 163", "cell": [[6.651, 0.000, 0.000], [-3.325, 5.760, 0.000], [0.000, 0.000, 14.319]], "species": ["Y", "Y", "V", "V", "In", "In", "Cl", "Cl", "Cl", "Cl", "Cl", "Cl", "Cl", "Cl", "Cl", "Cl", "Cl", "Cl"], "frac_coords": [[0.333, 0.667, 0.250], [0.667, 0.333, 0.750], [0.333, 0.667, 0.750], [0.667, 0.333, 0.250], [0.000, 0.000, 0.000], [0.000, 0.000, 0.500], [0.019, 0.375, 0.647], [0.019, 0.644, 0.853], [0.356, 0.375, 0.853], [0.356, 0.981, 0.647], [0.375, 0.019, 0.147], [0.375, 0.356, 0.353], [0.625, 0.644, 0.647], [0.625, 0.981, 0.853], [0.644, 0.019, 0.353], [0.644, 0.625, 0.147], [0.981, 0.356, 0.147], [0.981, 0.625, 0.353]]}


Entry 2:
{"formula": "YV2InCl", "functional": "PBE", "state": "optimized geometry", "rho_kg_m3": 3874, "e_form_raw_ev_per_atom": 1.005, "sg": "P4/mmm, No. 123", "cell": [[5.190, 0.000, 0.000], [0.000, 5.190, 0.000], [0.000, 0.000, 5.428]], "species": ["Y", "V", "V", "In", "Cl"], "frac_coords": [[0.000, 0.000, 0.000], [0.000, 0.500, 0.500], [0.500, 0.000, 0.500], [0.500, 0.500, 0.500], [0.500, 0.500, 0.000]]}


Q: Which formula does entry 1 have?
A: YVInCl6


Q: What is the formula in the first record?
A: YVInCl6


Q: Number 1 is which compound?
A: YVInCl6